This record from Alexandria describes a relaxed ScMnPO2 crystal. The functional is GGA+U.

a = 3.9537 Å, b = 3.9537 Å, c = 5.5854 Å
α = 90.00°, β = 90.00°, γ = 90.00°
Atoms (fractional coordinates):
1 Sc 0.0000 0.0000 0.0000
2 Mn 0.5000 0.5000 0.5000
3 P 0.0000 0.0000 0.5000
4 O 0.0000 0.5000 0.0000
5 O 0.5000 0.0000 0.0000

Calculated values
- energy above the most stable polymorph in this dataset (meV per atom) = 35
- D(E_F) (states/eV/atom) = 0.775
- total DFT energy (no corrections) (eV per formula unit) = -34.3
- total magnetic moment (Bohr magnetons per cell) = 4.85